No. 1
A plane-wave DFT calculation with PBE was carried out for a relaxed ReHS2 crystal.

```
ReHS2
1.0
-1.210 0.807 -2.882
4.513 -2.800 -2.514
-1.955 -6.597 0.540
H S Re
2 4 2
direct
0.256 0.474 0.306 H
0.343 0.097 0.319 H
0.628 0.293 0.950 S
0.444 0.036 0.527 S
0.078 0.814 0.892 S
0.996 0.552 0.420 S
0.483 0.632 0.707 Re
0.029 0.233 0.702 Re
```

Results
**Total energy**: -24.6 eV/f.u.

=====

No. 2
A plane-wave DFT calculation with PBE was carried out for a relaxed CdSi3H crystal.

```
CdSi3H
1.0
-0.480 -2.391 3.402
-2.095 -2.819 -2.277
3.592 -1.964 -0.874
Si H Cd
3 1 1
direct
0.000 0.500 0.000 Si
0.000 0.000 0.500 Si
0.500 0.000 0.000 Si
0.000 0.000 0.000 H
0.500 0.500 0.500 Cd
```

Results
**Total energy**: -17.2 eV/f.u.